Record 1
MgTiN: relaxed, PBE-GGA.

**Total moment**: 0.00 μB per atom
**Calculated total energy**: -6.886 eV/atom
**Raw formation energy**: -948.0 meV/atom
**D(E_F)**: 2.01 states/eV/f.u.
**Energy above the lowest structure with this stoichiometry**: 0.000 eV/atom
**ρ**: 3.5 Mg/m³

```
MgTiN
1.0
4.1427 0.0000 0.0000
0.0000 6.2378 0.0000
0.0000 0.0000 3.1513
Ti Mg N
2 2 2
direct
0.0000 0.5955 0.5000 Ti
0.5000 0.4045 0.0000 Ti
0.5000 0.8712 0.0000 Mg
0.0000 0.1288 0.5000 Mg
0.0000 0.3773 0.0000 N
0.5000 0.6227 0.5000 N
```

Record 2
SrMn2AgSe4: relaxed, PBE-GGA.

**Total moment**: 1.12 μB per atom
**Calculated total energy**: -5.230 eV/atom
**Raw formation energy**: -629.2 meV/atom
**D(E_F)**: 2.79 states/eV/f.u.
**ρ**: 5.6 Mg/m³

```
SrMn2AgSe4
1.0
4.0308 0.0000 0.0000
-2.0154 6.5775 0.0000
0.0000 0.0000 13.9506
Se Mn Sr Ag
8 4 2 2
direct
0.0000 0.0000 0.0000 Se
0.2618 0.5235 0.0977 Se
0.2618 0.5235 0.4023 Se
0.0000 0.0000 0.5000 Se
0.5301 0.0602 0.2500 Se
0.4699 0.9398 0.7500 Se
0.7382 0.4765 0.5977 Se
0.7382 0.4765 0.9023 Se
0.3750 0.7500 0.5654 Mn
0.3750 0.7500 0.9346 Mn
0.6250 0.2500 0.0654 Mn
0.6250 0.2500 0.4346 Mn
0.1395 0.2790 0.7500 Sr
0.8605 0.7210 0.2500 Sr
0.1486 0.2971 0.2500 Ag
0.8514 0.7029 0.7500 Ag
```

Record 3
Ba2SiAu: relaxed, PBE-GGA.

**Total moment**: 0.26 μB per atom
**Calculated total energy**: -3.428 eV/atom
**Raw formation energy**: -292.0 meV/atom
**D(E_F)**: 2.11 states/eV/f.u.
**Energy above the lowest structure with this stoichiometry**: 0.217 eV/atom
**ρ**: 5.3 Mg/m³

```
Ba2SiAu
1.0
8.4204 -0.1343 -0.0816
7.1355 4.4728 -0.0816
7.1355 1.9900 4.0065
Au Ba Si
1 2 1
direct
0.7500 0.7500 0.7500 Au
0.5036 0.5036 0.5036 Ba
0.9964 0.9964 0.9964 Ba
0.2500 0.2500 0.2500 Si
```

Record 4
PrThOs: relaxed, PBE-GGA.

**Energy relative to the elements**: -0.0174 eV/atom
**Total moment**: 0.00 μB per atom
**Calculated total energy**: -7.827 eV/atom
**D(E_F)**: 3.58 states/eV/f.u.
**Energy above the lowest structure with this stoichiometry**: 0.165 eV/atom
**ρ**: 11.8 Mg/m³

```
PrThOs
1.0
-2.1360 2.0856 2.0538
-2.9243 -1.4100 -1.6095
2.3183 -4.6794 3.9665
Pr Th Os
1 1 1
direct
0.9816 0.9816 0.9632 Pr
0.7014 0.7014 0.4029 Th
0.3170 0.3170 0.6340 Os
```

Record 5
Hf4InTe8: relaxed, PBE-GGA.

**Total moment**: 0.00 μB per atom
**Calculated total energy**: -5.963 eV/atom
**Raw formation energy**: -756.8 meV/atom
**D(E_F)**: 3.39 states/eV/f.u.
**ρ**: 6.7 Mg/m³

```
Hf4InTe8
1.0
7.2490 0.0000 3.3058
2.8707 6.6563 3.3058
0.0457 0.0301 9.5004
Te Hf In
8 4 1
direct
0.2626 0.2626 0.2122 Te
0.2368 0.7398 0.7867 Te
0.2368 0.2368 0.7867 Te
0.7632 0.2602 0.2133 Te
0.7632 0.7632 0.2133 Te
0.7374 0.7374 0.7878 Te
0.2602 0.7632 0.2133 Te
0.7398 0.2368 0.7867 Te
0.0000 0.0000 0.0000 Hf
0.0000 0.5000 0.0000 Hf
0.5000 0.5000 0.0000 Hf
0.5000 0.0000 0.0000 Hf
0.5000 0.5000 0.5000 In
```

Record 6
Tb9Sm2Dy: relaxed, PBE-GGA.

**Energy relative to the elements**: 0.0189 eV/atom
**Total moment**: 0.00 μB per atom
**Calculated total energy**: -4.624 eV/atom
**D(E_F)**: 18.78 states/eV/f.u.
**Energy above the lowest structure with this stoichiometry**: 0.000 eV/atom
**ρ**: 8.1 Mg/m³

```
Tb9Sm2Dy
1.0
5.0472 0.0000 0.0000
0.0000 5.0472 0.0000
0.0000 0.0000 15.1490
Tb Sm Dy
9 2 1
direct
0.0000 0.5000 0.8345 Tb
0.5000 0.0000 0.8345 Tb
0.5000 0.0000 0.1655 Tb
0.5000 0.5000 0.0000 Tb
0.0000 0.5000 0.5000 Tb
0.5000 0.5000 0.6674 Tb
0.5000 0.5000 0.3326 Tb
0.0000 0.5000 0.1655 Tb
0.5000 0.0000 0.5000 Tb
0.0000 0.0000 0.6672 Sm
0.0000 0.0000 0.3328 Sm
0.0000 0.0000 0.0000 Dy
```

Record 7
UMnGa2: relaxed, PBE-GGA.

**Energy relative to the elements**: -0.0202 eV/atom
**Total moment**: 0.02 μB per atom
**Calculated total energy**: -6.648 eV/atom
**D(E_F)**: 4.58 states/eV/f.u.
**ρ**: 10.4 Mg/m³

```
UMnGa2
1.0
4.7181 0.0000 0.0000
0.0000 3.8205 0.0000
0.0000 0.0000 3.8205
Mn U Ga
1 1 2
direct
0.5000 0.5000 0.5000 Mn
0.5000 0.0000 0.0000 U
0.0000 0.0000 0.5000 Ga
0.0000 0.5000 0.0000 Ga
```

Record 8
AcPa2Ge: relaxed, PBE-GGA.

**Energy relative to the elements**: 0.3587 eV/atom
**Total moment**: 0.00 μB per atom
**Calculated total energy**: -6.571 eV/atom
**D(E_F)**: 8.89 states/eV/f.u.
**Energy above the lowest structure with this stoichiometry**: 0.286 eV/atom
**ρ**: 10.6 Mg/m³

```
AcPa2Ge
1.0
-3.5066 -0.1768 0.4409
-1.3914 -2.4351 2.1579
-0.9332 6.1558 9.2462
Pa Ge Ac
2 1 1
direct
0.8946 0.8946 0.3162 Pa
0.1054 0.1054 0.6838 Pa
0.5000 0.5000 0.5000 Ge
0.0000 0.0000 0.0000 Ac
```

Record 9
PmTm2Sc5: relaxed, PBE-GGA.

**Energy relative to the elements**: 0.0592 eV/atom
**Total moment**: 0.00 μB per atom
**Calculated total energy**: -5.610 eV/atom
**D(E_F)**: 14.61 states/eV/f.u.
**ρ**: 5.5 Mg/m³

```
PmTm2Sc5
1.0
-3.7079 -1.2544 -5.4315
5.7269 -3.3523 0.8884
-2.2515 -1.9227 6.0048
Sc Tm Pm
5 2 1
direct
0.0000 0.2774 0.2774 Sc
0.5005 0.2780 0.2780 Sc
0.0000 0.7775 0.2780 Sc
0.0000 0.2780 0.7775 Sc
0.4995 0.7775 0.7775 Sc
0.5000 0.2777 0.7777 Tm
0.5000 0.7777 0.2777 Tm
0.0000 0.7782 0.7782 Pm
```

Record 10
AlCd2Pd5: relaxed, PBE-GGA.

**Energy relative to the elements**: -0.4907 eV/atom
**Total moment**: 0.00 μB per atom
**Calculated total energy**: -4.433 eV/atom
**D(E_F)**: 2.43 states/eV/f.u.
**ρ**: 10.0 Mg/m³

```
AlCd2Pd5
1.0
4.0810 0.0000 -1.1218
-0.3084 4.0693 -1.1218
-0.0431 -0.0465 7.8270
Cd Pd Al
2 5 1
direct
0.2517 0.2517 0.5035 Cd
0.7483 0.7483 0.4965 Cd
0.6165 0.1165 0.2331 Pd
0.3835 0.8835 0.7669 Pd
0.5000 0.5000 0.0000 Pd
0.8835 0.3835 0.7669 Pd
0.1165 0.6165 0.2331 Pd
0.0000 0.0000 0.0000 Al
```

Record 11
La3DyIr8: relaxed, PBE-GGA.

**Energy relative to the elements**: -0.7352 eV/atom
**Total moment**: 0.00 μB per atom
**Calculated total energy**: -8.258 eV/atom
**D(E_F)**: 8.97 states/eV/f.u.
**ρ**: 15.4 Mg/m³

```
La3DyIr8
1.0
5.2151 0.0016 1.5745
2.3714 4.6447 1.5745
0.0001 0.0001 9.4256
Ir La Dy
8 3 1
direct
0.4366 0.9355 0.1912 Ir
0.9380 0.9380 0.6838 Ir
0.4367 0.4367 0.1912 Ir
0.6875 0.6875 0.9374 Ir
0.1877 0.1877 0.4368 Ir
0.4400 0.9381 0.6838 Ir
0.9355 0.4366 0.1912 Ir
0.9381 0.4400 0.6838 Ir
0.9999 0.9999 0.0004 La
0.5000 0.5000 0.5001 La
0.3751 0.3751 0.8748 La
0.8749 0.8749 0.3754 Dy
```

Record 12
KIn2Os: relaxed, PBE-GGA.

**Energy relative to the elements**: 0.8879 eV/atom
**Total moment**: 0.00 μB per atom
**Calculated total energy**: -3.563 eV/atom
**D(E_F)**: 2.96 states/eV/f.u.
**Energy above the lowest structure with this stoichiometry**: 0.555 eV/atom
**ρ**: 8.7 Mg/m³

```
KIn2Os
1.0
5.1408 0.0000 0.0000
0.0000 5.1408 0.0000
0.0000 0.0000 3.3245
Os In K
1 2 1
direct
0.0000 0.5000 0.5000 Os
0.0000 0.0000 0.0000 In
0.5000 0.5000 0.0000 In
0.5000 0.0000 0.5000 K
```

Record 13
BeIn2Sn2: relaxed, PBE-GGA.

**Energy relative to the elements**: 0.2741 eV/atom
**Total moment**: 0.00 μB per atom
**Calculated total energy**: -3.168 eV/atom
**D(E_F)**: 2.88 states/eV/f.u.
**Energy above the lowest structure with this stoichiometry**: 0.000 eV/atom
**ρ**: 6.2 Mg/m³

```
BeIn2Sn2
1.0
-1.4459 5.9444 2.6989
-5.8936 0.0005 -3.1585
-2.3952 -2.6117 4.4690
In Be Sn
4 2 4
direct
0.1758 0.6758 0.5000 In
0.8242 0.3242 0.5000 In
0.6758 0.8242 0.5000 In
0.3242 0.1758 0.5000 In
0.5000 0.5000 0.0000 Be
0.0000 0.0000 0.0000 Be
0.6566 0.1566 0.0000 Sn
0.8434 0.6566 0.0000 Sn
0.1566 0.3434 0.0000 Sn
0.3434 0.8434 0.0000 Sn
```

Record 14
NbNiC: relaxed, PBE-GGA.

**Energy relative to the elements**: -0.1585 eV/atom
**Total moment**: 0.00 μB per atom
**Calculated total energy**: -8.517 eV/atom
**D(E_F)**: 1.70 states/eV/f.u.
**Energy above the lowest structure with this stoichiometry**: 0.081 eV/atom
**ρ**: 7.8 Mg/m³

```
NbNiC
1.0
-4.1458 0.8266 -1.7277
-0.4208 -3.0386 -0.4441
-3.7209 -0.8213 9.1454
Nb C Ni
4 4 4
direct
0.2988 0.0000 0.6047 Nb
0.6390 0.5000 0.8409 Nb
0.6390 0.0000 0.3409 Nb
0.2988 0.5000 0.1047 Nb
0.8393 0.0000 0.6972 C
0.4493 0.0000 0.9700 C
0.4493 0.5000 0.4700 C
0.8393 0.5000 0.1972 C
0.8046 0.5000 0.5821 Ni
0.1054 0.0000 0.8609 Ni
0.8046 0.0000 0.0822 Ni
0.1054 0.5000 0.3609 Ni
```

Record 15
Pm5Ge2Pt2: relaxed, PBE-GGA.

**Energy relative to the elements**: -0.7850 eV/atom
**Total moment**: 0.00 μB per atom
**Calculated total energy**: -5.793 eV/atom
**D(E_F)**: 7.14 states/eV/f.u.
**Energy above the lowest structure with this stoichiometry**: 0.104 eV/atom
**ρ**: 8.5 Mg/m³

```
Pm5Ge2Pt2
1.0
-6.3284 1.0426 4.1944
-1.7962 -7.2033 -0.9195
8.4445 1.0803 5.4715
Pm Ge Pt
10 4 4
direct
0.5571 0.2217 0.7089 Pm
0.2556 0.6473 0.8572 Pm
0.1016 0.1473 0.8572 Pm
0.3481 0.0128 0.2911 Pm
0.1317 0.7648 0.5000 Pm
0.6519 0.7217 0.7089 Pm
0.4429 0.5128 0.2911 Pm
0.8683 0.2648 0.5000 Pm
0.7444 0.7901 0.1428 Pm
0.8984 0.2901 0.1428 Pm
0.7482 0.8817 0.5000 Ge
0.0000 0.8972 0.0000 Ge
0.5000 0.3972 0.0000 Ge
0.2518 0.3817 0.5000 Ge
0.0968 0.6419 0.1634 Pt
0.5665 0.1419 0.1634 Pt
0.4335 0.9785 0.8366 Pt
0.9032 0.4785 0.8366 Pt
```

Record 16
As2Ir: relaxed, PBE-GGA.

**Energy relative to the elements**: -0.2056 eV/atom
**Total moment**: 0.00 μB per atom
**Calculated total energy**: -6.259 eV/atom
**D(E_F)**: 1.44 states/eV/f.u.
**ρ**: 10.4 Mg/m³

```
As2Ir
1.0
-0.2835 2.4895 3.4399
-3.6896 1.8915 0.9595
-2.2366 -1.2911 3.3826
Ir As
1 2
direct
0.0000 0.0000 0.0000 Ir
0.2500 0.2500 0.2500 As
0.7500 0.7500 0.7500 As
```

Record 17
VFe8: relaxed, PBE-GGA.

**Energy relative to the elements**: -0.0637 eV/atom
**Total moment**: 1.81 μB per atom
**Calculated total energy**: -8.599 eV/atom
**D(E_F)**: 6.68 states/eV/f.u.
**ρ**: 7.9 Mg/m³

```
VFe8
1.0
2.8914 0.0000 0.0000
1.4457 6.0046 0.0000
1.4457 0.0000 6.0046
Fe V
8 1
direct
0.3331 0.0000 0.3339 Fe
0.3331 0.3339 0.0000 Fe
0.0000 0.6657 0.3343 Fe
0.6669 0.0000 0.6661 Fe
0.0000 0.3343 0.6657 Fe
0.6669 0.6661 0.0000 Fe
0.6657 0.3343 0.3343 Fe
0.3343 0.6657 0.6657 Fe
0.0000 0.0000 0.0000 V
```

Record 18
SiMoAu2: relaxed, PBE-GGA.

**Total moment**: 0.00 μB per atom
**Calculated total energy**: -5.388 eV/atom
**Raw formation energy**: 314.6 meV/atom
**D(E_F)**: 4.18 states/eV/f.u.
**ρ**: 13.2 Mg/m³

```
SiMoAu2
1.0
4.5226 -0.0002 0.0000
0.0044 4.5226 0.0000
-2.2635 -2.2612 3.1965
Au Si Mo
2 1 1
direct
0.0000 0.0000 0.0000 Au
0.2500 0.7500 0.5000 Au
0.7500 0.2500 0.5000 Si
0.5000 0.5000 0.0000 Mo
```

Record 19
Na3YP: relaxed, PBE-GGA.

**Energy relative to the elements**: 1.3498 eV/atom
**Total moment**: 0.20 μB per atom
**Calculated total energy**: -1.816 eV/atom
**D(E_F)**: 4.84 states/eV/f.u.
**Energy above the lowest structure with this stoichiometry**: 1.035 eV/atom
**ρ**: 1.3 Mg/m³

```
Na3YP
1.0
-3.0659 3.2983 -4.2300
0.7634 -4.5543 -4.1045
-5.3093 -2.5595 1.8525
P Na Y
1 3 1
direct
0.5000 0.5000 0.5000 P
0.0000 0.0000 0.5000 Na
0.0000 0.5000 0.0000 Na
0.5000 0.0000 0.0000 Na
0.0000 0.0000 0.0000 Y
```

Record 20
BaAsIr2: relaxed, PBE-GGA.

**Energy relative to the elements**: 0.2662 eV/atom
**Total moment**: 0.00 μB per atom
**Calculated total energy**: -5.807 eV/atom
**D(E_F)**: 2.72 states/eV/f.u.
**ρ**: 12.4 Mg/m³

```
BaAsIr2
1.0
-0.3063 0.7815 -3.0163
2.0393 -2.2412 -0.7882
-6.1134 -5.2985 -0.7520
Ir Ba As
2 1 1
direct
0.0000 0.0000 0.4311 Ir
0.0000 0.0000 0.0689 Ir
0.5000 0.5000 0.7500 Ba
0.5000 0.5000 0.2500 As
```